First-principles (GGA-PBE) data for YLuAgOs after structural relaxation, as listed in Alexandria via LeMat-Bulk. Values from VASP.

Summary:
- ΔH_f (0 K) (meV/atom) = -302
- calculated density (Mg/m³) = 11.2
- SG = F-43m
- V (Å³ per atom) = 20.877
- density of states at the Fermi level (states/eV per cell) = 1.511
- total moment (Bohr magnetons per cell) = 0.0
- uncorrected energy (eV/cell) = -26.3

Structure (Quantum ESPRESSO input):
```
&SYSTEM
  ibrav = 0, nat = 4, ntyp = 4
/
ATOMIC_SPECIES
Y 88.91 Y.upf
Lu 174.97 Lu.upf
Os 190.23 Os.upf
Ag 107.87 Ag.upf
ATOMIC_POSITIONS angstrom
Y 7.3593 4.2489 3.0044
Lu 2.4531 1.4163 1.0015
Os 4.9062 2.8326 2.0030
Ag 0.0000 0.0000 0.0000
CELL_PARAMETERS angstrom
4.9062 0.0000 0.0000
2.4531 4.2489 0.0000
2.4531 1.4163 4.0059
```